CsIn2ICl2: optimized geometry, PBE.

Computed properties:
* raw formation energy: -1.014 eV/atom
* SG: P2_1/m

Cell: 6.7899 7.9334 10.9434 Å, 104.25 90.00 90.00°
Sites, in units of the cell vectors:
Cs (0.7500, 0.2613, 0.5750)
Cs (0.2500, 0.7387, 0.4250)
In (0.4982, 0.1661, 0.1554)
In (0.0018, 0.1661, 0.1554)
In (0.9982, 0.8339, 0.8446)
In (0.5018, 0.8339, 0.8446)
I (0.2500, 0.1170, 0.7514)
I (0.7500, 0.8830, 0.2486)
Cl (0.2500, 0.1890, 0.3663)
Cl (0.2500, 0.5856, 0.6925)
Cl (0.7500, 0.8110, 0.6337)
Cl (0.7500, 0.4144, 0.3075)